Entry 1:
First-principles (PBE-GGA) data for Bi2MoW after structural relaxation, as listed in Alexandria via LeMat-Bulk.

## Properties
Total magnetization, μB per formula unit: 0.00
Crystal system: cubic
Final energy, eV/atom: -6.920
ΔH_f (0 K), eV per atom: 0.967

Lattice parameters (Å, degrees): 4.860 4.860 4.860 60.00 60.00 60.00
Fractional positions:
Bi 0.250 0.250 0.250
Bi 0.750 0.750 0.750
Mo 0.000 0.000 0.000
W 0.500 0.500 0.500

Entry 2:
First-principles (PBE-GGA) data for Sc2NiRu after structural relaxation, as listed in Alexandria via LeMat-Bulk.

## Properties
Total magnetization, μB per formula unit: 0.00
Crystal system: trigonal
Final energy, eV/atom: -6.802
ΔH_f (0 K), eV per atom: 0.128

Lattice parameters (Å, degrees): 8.849 8.849 8.849 20.28 20.28 20.28
Fractional positions:
Sc 0.000 0.000 0.000
Sc 0.217 0.217 0.217
Ni 0.736 0.736 0.736
Ru 0.477 0.477 0.477

Entry 3:
First-principles (PBE-GGA) data for SmSc2Ga3 after structural relaxation, as listed in Alexandria via LeMat-Bulk.

## Properties
Total magnetization, μB per formula unit: 0.00
Crystal system: tetragonal
Final energy, eV/atom: -4.994
ΔH_f (0 K), eV per atom: -0.583

Lattice parameters (Å, degrees): 3.447 3.447 10.427 90.00 90.00 90.00
Fractional positions:
Sm 0.000 0.000 0.000
Sc 0.000 0.000 0.344
Sc 0.000 0.000 0.656
Ga 0.500 0.500 0.191
Ga 0.500 0.500 0.500
Ga 0.500 0.500 0.809

Question: Number 3 is which compound?
Answer: SmSc2Ga3

Question: total magnetization of number 2 (Sc2NiRu)?
Answer: 0.00 μB per formula unit

Question: Look up the ΔH_f (0 K) of the third one.
Answer: -0.583 eV per atom

Question: final energy of number 3 (SmSc2Ga3)?
Answer: -4.994 eV/atom